No. 1
Here is a geometry-optimized YLuNp structure from the Open Quantum Materials Database. Energies are from PBE.

## Properties
Offset from the most stable computed form ... 0.00 eV/f.u.
Crystal system ... cubic
E_tot ... -20.253 eV per cell
Calculated density ... 8.6 g cm⁻³

CIF file:
```
data_YLuNp
_chemical_formula_sum 'Y1 Lu1 Np1'
_symmetry_space_group_name_H-M 'P 1'
_symmetry_Int_Tables_number 1
_symmetry_space_group_name_Hall 'P 1'
_cell_length_a 5.1470
_cell_length_b 5.1470
_cell_length_c 5.1470
_cell_angle_alpha 60.00
_cell_angle_beta 60.00
_cell_angle_gamma 60.00
loop_
_atom_site_label
_atom_site_type_symbol
_atom_site_fract_x
_atom_site_fract_y
_atom_site_fract_z
Y1 Y 0.0000 0.0000 0.0000
Lu1 Lu 0.7500 0.7500 0.7500
Np1 Np 0.5000 0.5000 0.5000
```

---

No. 2
Here is a geometry-optimized HoTmIn4Co2 structure from the Open Quantum Materials Database. Energies are from PBE.

## Properties
Crystal system ... orthorhombic
E_tot ... -36.475 eV per cell
Calculated density ... 9.2 g cm⁻³

CIF file:
```
data_HoTmIn4Co2
_chemical_formula_sum 'Ho1 Tm1 In4 Co2'
_symmetry_space_group_name_H-M 'P 1'
_symmetry_Int_Tables_number 1
_symmetry_space_group_name_Hall 'P 1'
_cell_length_a 7.6300
_cell_length_b 5.5136
_cell_length_c 5.5136
_cell_angle_alpha 45.24
_cell_angle_beta 90.00
_cell_angle_gamma 90.00
loop_
_atom_site_label
_atom_site_type_symbol
_atom_site_fract_x
_atom_site_fract_y
_atom_site_fract_z
Ho1 Ho 0.0000 0.0000 0.0000
Tm1 Tm 0.5000 0.1321 0.1321
In1 In 0.2004 0.7117 0.7117
In2 In 0.3012 0.4201 0.4201
In3 In 0.6988 0.4201 0.4201
In4 In 0.7996 0.7117 0.7117
Co1 Co 0.0000 0.2825 0.2825
Co2 Co 0.5000 0.8493 0.8493
```